Compound: MnAs2PbCl
Source: Alexandria
Functional: PBE
Structure: relaxed

Cell: 4.5764 4.5764 5.2675 Å, 90.00 90.00 90.00°
Closest atoms and distances in Å follow each position.
Space group P4/mmm (No. 123)
One atom of each set of equivalent atoms:
1 Mn 0.0000 0.0000 0.0000 x1  4 As 2.29
2 As 0.0000 0.5000 0.0000 x2  2 Mn 2.29
3 Pb 0.5000 0.5000 0.5000 x1  4 Cl 3.24, 8 As 3.49
4 Cl 0.0000 0.0000 0.5000 x1  2 Mn 2.63

* energy relative to the elements, uncorrected: 0.11 eV/atom

***

Compound: CaMn3Cr
Source: Alexandria
Functional: PBE
Structure: relaxed

Cell: 4.7969 4.7969 4.7969 Å, 90.00 90.00 90.00°
Closest atoms and distances in Å follow each position.
Space group Pm-3m (No. 221)
One atom of each set of equivalent atoms:
1 Ca 0.0000 0.0000 0.0000 x1  6 Mn 2.40
2 Mn 0.0000 0.0000 0.5000 x3  2 Ca 2.40
3 Cr 0.5000 0.5000 0.5000 x1  12 Mn 3.39

* energy above the lowest structure with this stoichiometry: 1.331 eV per atom
* formation energy: 1.998 eV per atom

***

Compound: La2Dy9Er
Source: Alexandria
Functional: PBE
Structure: relaxed

Cell: 5.0553 5.0553 15.1905 Å, 90.00 90.00 90.00°
Closest atoms and distances in Å follow each position.
Space group P4/mmm (No. 123)
One atom of each set of equivalent atoms:
1 La 0.0000 0.0000 0.1667 x2  12 Dy 3.57-3.62
2 Dy 0.0000 0.5000 0.0000 x2  8 Dy 3.57-3.60, 4 La 3.58
3 Dy 0.0000 0.5000 0.3374 x4  8 Dy 3.53-3.59, 2 Er 3.53, 2 La 3.62
4 Dy 0.5000 0.5000 0.1692 x2  4 La 3.57, 8 Dy 3.59-3.60
5 Dy 0.5000 0.5000 0.5000 x1  8 Dy 3.53, 4 Er 3.57
6 Er 0.0000 0.0000 0.5000 x1  12 Dy 3.53-3.57

* energy above the lowest structure with this stoichiometry: 0.000 eV per atom
* formation energy: 0.029 eV per atom

***

M_tot per entry: 0.00, 15.38, 0.00 μB per cell
Energy per entry: -23.477, -29.146, -55.483 eV per cell